Material: TaNiIr
Method: DFT, PBE
State: relaxed

Computed properties:
Energy relative to the elements = -133 kJ/mol of formula units
Fermi-level density of states = 8.011 states/eV/cell
VASP energy = -9.291 eV per atom
Magnetization = 0.00 μB/atom
Polymorph energy (0 for the lowest one) = 2.4 kJ per mole of atoms

Cell lengths 8.474, 3.848, 5.545 Å; angles 90.00, 106.21, 90.00 degrees
Fractional positions:
Ta 0.158 0.000 0.301
Ta 0.342 0.500 0.699
Ta 0.658 0.500 0.301
Ta 0.842 0.000 0.699
Ni 0.164 0.000 0.821
Ni 0.336 0.500 0.179
Ni 0.664 0.500 0.821
Ni 0.836 0.000 0.179
Ir 0.000 0.500 0.000
Ir 0.000 0.500 0.500
Ir 0.500 0.000 0.000
Ir 0.500 0.000 0.500

Material: HfAlPd3
Method: DFT, PBE
State: relaxed

Computed properties:
Energy relative to the elements = -31 kJ/mol of formula units
Fermi-level density of states = 5.083 states/eV/cell
VASP energy = -5.920 eV per atom
Magnetization = 0.00 μB/atom
Polymorph energy (0 for the lowest one) = 52.1 kJ per mole of atoms

Cell lengths 4.526, 4.526, 4.526 Å; angles 90.00, 90.00, 90.00 degrees
Fractional positions:
Hf 0.000 0.000 0.000
Al 0.500 0.500 0.500
Pd 0.000 0.500 0.500
Pd 0.500 0.000 0.500
Pd 0.500 0.500 0.000